A geometry-optimized KSrMn structure, computed with PBE.

Lattice parameters (Å, degrees): 8.246 8.246 8.246 90.00 90.00 90.00
Fractional coordinates of all 12 atoms:
K1 0.000 0.000 0.000
K2 0.000 0.500 0.500
K3 0.500 0.000 0.500
K4 0.500 0.500 0.000
Sr1 0.000 0.000 0.500
Sr2 0.000 0.500 0.000
Sr3 0.500 0.000 0.000
Sr4 0.500 0.500 0.500
Mn1 0.250 0.250 0.250
Mn2 0.250 0.750 0.750
Mn3 0.750 0.250 0.750
Mn4 0.750 0.750 0.250

Output
Volume, Å³ per atom: 46.72
Crystal system: cubic
Theoretical density, g/cm³: 2.152
N(E_F), states/eV per atom: 1.447
VASP energy, hartree per atom: -0.1161
DFT formation energy, eV per atom: 0.82